--- a ---
Computed, not measured: crystalline Co2Cu2Pd at its relaxed geometry at the PBE level of DFT.

- DOS at the Fermi energy: 3.805 states/eV per cell
- Calculated density: 8.8 Mg/m³

```
Co2Cu2Pd
1.0
-1.6597 1.6597 6.0483
1.6597 -1.6597 6.0483
1.6597 1.6597 -6.0483
Co Cu Pd
2 2 1
direct
0.2500 0.7500 0.5000
0.7500 0.2500 0.5000
0.1001 0.1001 0.0000
0.8999 0.8999 0.0000
0.5000 0.5000 0.0000
```

=====

--- b ---
Computed, not measured: crystalline Co2Cu2Pd at its relaxed geometry at the PBE level of DFT.

- DOS at the Fermi energy: 13.434 states/eV per cell
- Calculated density: 9.2 Mg/m³

```
Co2Cu2Pd
1.0
6.9283 0.0000 0.0000
0.0000 6.9283 0.0000
0.0000 0.0000 2.6316
Co Cu Pd
4 4 2
direct
0.1719 0.3281 0.0000
0.3281 0.8281 0.0000
0.6719 0.1719 0.0000
0.8281 0.6719 0.0000
0.1252 0.6252 0.5000
0.3748 0.1252 0.5000
0.6252 0.8748 0.5000
0.8748 0.3748 0.5000
0.0000 0.0000 0.5000
0.5000 0.5000 0.5000
```

=====

Relative energy of each structure, in meV per atom: a 62; b 0.

=====

--- a ---
Computed, not measured: crystalline CoCuPdPt at its relaxed geometry at the PBE level of DFT.

- DOS at the Fermi energy: 6.114 states/eV per cell
- Calculated density: 12.8 Mg/m³

```
CoCuPdPt
1.0
0.0000 3.0171 3.0171
3.0171 0.0000 3.0171
3.0171 3.0171 0.0000
Co Cu Pd Pt
1 1 1 1
direct
0.0000 0.0000 0.0000
0.5000 0.5000 0.5000
0.7500 0.7500 0.7500
0.2500 0.2500 0.2500
```

=====

--- b ---
Computed, not measured: crystalline CoCuPdPt at its relaxed geometry at the PBE level of DFT.

- DOS at the Fermi energy: 3.267 states/eV per cell
- Calculated density: 12.9 Mg/m³

```
CoCuPdPt
1.0
2.7396 0.0000 0.0000
0.0000 2.7396 0.0000
0.0000 0.0000 7.2849
Co Cu Pd Pt
1 1 1 1
direct
0.0000 0.0000 0.0000
0.0000 0.0000 0.4998
0.5000 0.5000 0.7538
0.5000 0.5000 0.2441
```

=====

Relative energy of each structure, in meV per atom: a 78; b 0.

=====

--- a ---
Computed, not measured: crystalline TlCoCu2Pd at its relaxed geometry at the PBE level of DFT.

- DOS at the Fermi energy: 5.186 states/eV per cell
- Calculated density: 8.7 Mg/m³

```
TlCoCu2Pd
1.0
4.4979 0.0000 0.0000
0.0000 4.4979 0.0000
0.0000 0.0000 4.6782
Tl Co Cu Pd
1 1 2 1
direct
0.0000 0.0000 0.0000
0.5000 0.5000 0.5000
0.0000 0.5000 0.5000
0.5000 0.0000 0.5000
0.5000 0.5000 0.0000
```

=====

--- b ---
Computed, not measured: crystalline TlCoCu2Pd at its relaxed geometry at the PBE level of DFT.

- DOS at the Fermi energy: 2.550 states/eV per cell
- Calculated density: 7.5 Mg/m³

```
TlCoCu2Pd
1.0
4.7780 0.0000 0.0000
0.0000 4.7780 0.0000
0.0000 0.0000 4.8241
Tl Co Cu Pd
1 1 2 1
direct
0.0000 0.0000 0.0000
0.0000 0.0000 0.5000
0.0000 0.5000 0.0000
0.5000 0.0000 0.0000
0.5000 0.5000 0.5000
```

=====

Relative energy of each structure, in meV per atom: a 0; b 630.

=====

--- a ---
Computed, not measured: crystalline Pm3Co2Cu at its relaxed geometry at the PBE level of DFT.

- DOS at the Fermi energy: 4.323 states/eV per cell
- Calculated density: 8.1 Mg/m³

```
Pm3Co2Cu
1.0
3.4516 0.0000 0.0000
0.0000 3.4516 0.0000
0.0000 0.0000 10.6675
Pm Co Cu
3 2 1
direct
0.0000 0.0000 0.0000
0.0000 0.0000 0.3223
0.0000 0.0000 0.6777
0.5000 0.5000 0.1653
0.5000 0.5000 0.8347
0.5000 0.5000 0.5000
```

=====

--- b ---
Computed, not measured: crystalline Pm3Co2Cu at its relaxed geometry at the PBE level of DFT.

- DOS at the Fermi energy: 13.950 states/eV per cell
- Calculated density: 7.8 Mg/m³

```
Pm3Co2Cu
1.0
11.5413 0.0000 0.0000
0.0000 3.9827 0.0000
0.0000 0.0000 11.4728
Pm Co Cu
12 8 4
direct
0.0616 0.2500 0.1230
0.1202 0.7500 0.5660
0.1951 0.2500 0.8171
0.3049 0.7500 0.3171
0.3798 0.2500 0.0660
0.4384 0.7500 0.6230
0.5616 0.2500 0.3770
0.6202 0.7500 0.9340
0.6951 0.2500 0.6829
0.8049 0.7500 0.1829
0.8798 0.2500 0.4340
0.9384 0.7500 0.8770
0.0259 0.7500 0.3151
0.1851 0.7500 0.9893
0.3149 0.2500 0.4893
0.4741 0.2500 0.8151
0.5259 0.7500 0.1849
0.6851 0.7500 0.5107
0.8149 0.2500 0.0107
0.9741 0.2500 0.6849
0.1293 0.2500 0.3757
0.3707 0.7500 0.8757
0.6293 0.2500 0.1243
0.8707 0.7500 0.6243
```

=====

Relative energy of each structure, in meV per atom: a 31; b 0.

=====

--- a ---
Computed, not measured: crystalline PmPrCoCu at its relaxed geometry at the PBE level of DFT.

- DOS at the Fermi energy: 4.299 states/eV per cell
- Calculated density: 7.7 Mg/m³

```
PmPrCoCu
1.0
0.0000 3.5248 3.5248
3.5248 0.0000 3.5248
3.5248 3.5248 0.0000
Pm Pr Co Cu
1 1 1 1
direct
0.0000 0.0000 0.0000
0.5000 0.5000 0.5000
0.2500 0.2500 0.2500
0.7500 0.7500 0.7500
```

=====

--- b ---
Computed, not measured: crystalline PmPrCoCu at its relaxed geometry at the PBE level of DFT.

- DOS at the Fermi energy: 3.667 states/eV per cell
- Calculated density: 7.5 Mg/m³

```
PmPrCoCu
1.0
4.3552 0.0000 0.0000
0.0000 1.9624 5.2801
0.0000 -1.9624 5.2801
Pm Pr Co Cu
1 1 1 1
direct
0.0000 0.0000 0.0000
0.5000 0.7212 0.7212
0.5000 0.4323 0.4323
0.0000 0.2967 0.2967
```

=====

Relative energy of each structure, in meV per atom: a 60; b 0.

=====

--- a ---
Computed, not measured: crystalline PmSmCoCu at its relaxed geometry at the PBE level of DFT.

- DOS at the Fermi energy: 4.035 states/eV per cell
- Calculated density: 8.2 Mg/m³

```
PmSmCoCu
1.0
0.0000 3.4880 3.4880
3.4880 0.0000 3.4880
3.4880 3.4880 0.0000
Pm Sm Co Cu
1 1 1 1
direct
0.0000 0.0000 0.0000
0.5000 0.5000 0.5000
0.7500 0.7500 0.7500
0.2500 0.2500 0.2500
```

=====

--- b ---
Computed, not measured: crystalline PmSmCoCu at its relaxed geometry at the PBE level of DFT.

- DOS at the Fermi energy: 3.458 states/eV per cell
- Calculated density: 7.9 Mg/m³

```
PmSmCoCu
1.0
4.3152 0.0000 0.0000
0.0000 1.9435 5.2269
0.0000 -1.9435 5.2269
Pm Sm Co Cu
1 1 1 1
direct
0.0000 0.0000 0.0000
0.5000 0.7209 0.7209
0.0000 0.2892 0.2892
0.5000 0.4261 0.4261
```

=====

Relative energy of each structure, in meV per atom: a 52; b 0.

=====

--- a ---
Computed, not measured: crystalline TbPmCoCu at its relaxed geometry at the PBE level of DFT.

- DOS at the Fermi energy: 3.437 states/eV per cell
- Calculated density: 8.3 Mg/m³

```
TbPmCoCu
1.0
4.3043 0.0000 0.0000
0.0000 1.9282 5.1564
0.0000 -1.9282 5.1564
Tb Pm Co Cu
1 1 1 1
direct
0.0000 0.0000 0.0000
0.5000 0.2805 0.2805
0.5000 0.5658 0.5658
0.0000 0.7037 0.7037
```

=====

--- b ---
Computed, not measured: crystalline TbPmCoCu at its relaxed geometry at the PBE level of DFT.

- DOS at the Fermi energy: 3.683 states/eV per cell
- Calculated density: 8.6 Mg/m³

```
TbPmCoCu
1.0
0.0000 3.4577 3.4577
3.4577 0.0000 3.4577
3.4577 3.4577 0.0000
Tb Pm Co Cu
1 1 1 1
direct
0.0000 0.0000 0.0000
0.5000 0.5000 0.5000
0.7500 0.7500 0.7500
0.2500 0.2500 0.2500
```

=====

Relative energy of each structure, in meV per atom: a 0; b 42.

=====

--- a ---
Computed, not measured: crystalline PmThCoCu at its relaxed geometry at the PBE level of DFT.

- DOS at the Fermi energy: 3.624 states/eV per cell
- Calculated density: 9.6 Mg/m³

```
PmThCoCu
1.0
0.0000 3.5079 3.5079
3.5079 0.0000 3.5079
3.5079 3.5079 0.0000
Pm Th Co Cu
1 1 1 1
direct
0.0000 0.0000 0.0000
0.5000 0.5000 0.5000
0.2500 0.2500 0.2500
0.7500 0.7500 0.7500
```

=====

--- b ---
Computed, not measured: crystalline PmThCoCu at its relaxed geometry at the PBE level of DFT.

- DOS at the Fermi energy: 2.801 states/eV per cell
- Calculated density: 9.3 Mg/m³

```
PmThCoCu
1.0
3.8665 0.0000 0.0000
0.0000 1.9189 5.9938
0.0000 -1.9189 5.9938
Pm Th Co Cu
1 1 1 1
direct
0.0000 0.0000 0.0000
0.5000 0.2747 0.2747
0.0000 0.7438 0.7438
0.5000 0.5862 0.5862
```

=====

Relative energy of each structure, in meV per atom: a 158; b 0.

=====

--- a ---
Computed, not measured: crystalline RbCo2Cu at its relaxed geometry at the PBE level of DFT.

- DOS at the Fermi energy: 12.805 states/eV per cell
- Calculated density: 4.7 Mg/m³

```
RbCo2Cu
1.0
-2.3533 2.3533 8.5475
2.3533 -2.3533 8.5475
2.3533 2.3533 -8.5475
Rb Co Cu
2 4 2
direct
0.3750 0.6250 0.7500
0.6250 0.3750 0.2500
0.0000 0.0000 0.0000
0.0000 0.0000 0.5000
0.0000 0.5000 0.0000
0.5000 0.0000 0.5000
0.1250 0.8750 0.2500
0.8750 0.1250 0.7500
```

=====

--- b ---
Computed, not measured: crystalline RbCo2Cu at its relaxed geometry at the PBE level of DFT.

- DOS at the Fermi energy: 13.150 states/eV per cell
- Calculated density: 6.4 Mg/m³

```
RbCo2Cu
1.0
0.0000 3.2521 3.2521
3.2521 0.0000 3.2521
3.2521 3.2521 0.0000
Rb Co Cu
1 2 1
direct
0.0000 0.0000 0.0000
0.2500 0.2500 0.2500
0.7500 0.7500 0.7500
0.5000 0.5000 0.5000
```

=====

Relative energy of each structure, in meV per atom: a 0; b 531.

=====

--- a ---
Computed, not measured: crystalline RbCoCu3 at its relaxed geometry at the PBE level of DFT.

- DOS at the Fermi energy: 7.560 states/eV per cell
- Calculated density: 5.3 Mg/m³

```
RbCoCu3
1.0
4.7127 0.0000 0.0000
0.0000 4.7127 0.0000
0.0000 0.0000 4.7127
Rb Co Cu
1 1 3
direct
0.0000 0.0000 0.0000
0.5000 0.5000 0.5000
0.0000 0.5000 0.5000
0.5000 0.0000 0.5000
0.5000 0.5000 0.0000
```

=====

--- b ---
Computed, not measured: crystalline RbCoCu3 at its relaxed geometry at the PBE level of DFT.

- DOS at the Fermi energy: 6.079 states/eV per cell
- Calculated density: 4.1 Mg/m³

```
RbCoCu3
1.0
5.1200 0.0000 0.0000
0.0000 5.1200 0.0000
0.0000 0.0000 5.1200
Rb Co Cu
1 1 3
direct
0.0000 0.0000 0.0000
0.5000 0.5000 0.5000
0.0000 0.0000 0.5000
0.0000 0.5000 0.0000
0.5000 0.0000 0.0000
```

=====

Relative energy of each structure, in meV per atom: a 0; b 1498.

=====

--- a ---
Computed, not measured: crystalline RbCoCuS2 at its relaxed geometry at the PBE level of DFT.

- DOS at the Fermi energy: 4.466 states/eV per cell
- Calculated density: 4.4 Mg/m³

```
RbCoCuS2
1.0
-1.9434 1.9434 6.7927
1.9434 -1.9434 6.7927
1.9434 1.9434 -6.7927
Rb Co Cu S
1 1 1 2
direct
0.0000 0.0000 0.0000
0.7500 0.2500 0.5000
0.2500 0.7500 0.5000
0.3454 0.3454 0.0000
0.6546 0.6546 0.0000
```

=====

--- b ---
Computed, not measured: crystalline RbCoCuS2 at its relaxed geometry at the PBE level of DFT.

- DOS at the Fermi energy: 5.664 states/eV per cell
- Calculated density: 4.1 Mg/m³

```
RbCoCuS2
1.0
2.6462 -6.5665 0.0000
2.6462 6.5665 0.0000
0.0000 0.0000 6.2999
Rb Co Cu S
2 2 2 4
direct
0.2500 0.7500 0.7587
0.7500 0.2500 0.2413
0.2500 0.2500 0.0000
0.7500 0.7500 0.0000
0.0000 0.0000 0.5000
0.5000 0.5000 0.5000
0.0908 0.9092 0.2093
0.4092 0.5908 0.2093
0.5908 0.4092 0.7907
0.9092 0.0908 0.7907
```

=====

Relative energy of each structure, in meV per atom: a 0; b 25.

=====

--- a ---
Computed, not measured: crystalline Co2CuRe at its relaxed geometry at the PBE level of DFT.

- DOS at the Fermi energy: 4.808 states/eV per cell
- Calculated density: 12.6 Mg/m³

```
Co2CuRe
1.0
2.5820 0.0000 0.0000
0.0000 3.7233 0.0000
0.0000 0.0000 5.0487
Co Cu Re
2 1 1
direct
0.0000 0.0000 0.0000
0.5000 0.5000 0.2647
0.0000 0.0000 0.4939
0.5000 0.5000 0.7745
```

=====

--- b ---
Computed, not measured: crystalline Co2CuRe at its relaxed geometry at the PBE level of DFT.

- DOS at the Fermi energy: 4.875 states/eV per cell
- Calculated density: 12.6 Mg/m³

```
Co2CuRe
1.0
4.3051 -1.2958 0.0000
4.3051 1.2958 0.0000
-0.8694 0.0000 4.3271
Co Cu Re
2 1 1
direct
0.0000 0.0000 0.0000
0.7347 0.7347 0.2791
0.4885 0.4885 0.4953
0.2494 0.2494 0.7898
```

=====

--- c ---
Computed, not measured: crystalline Co2CuRe at its relaxed geometry at the PBE level of DFT.

- DOS at the Fermi energy: 5.835 states/eV per cell
- Calculated density: 12.4 Mg/m³

```
Co2CuRe
1.0
4.2897 0.0000 0.0000
0.0000 4.2897 0.0000
0.0000 0.0000 2.6692
Co Cu Re
2 1 1
direct
0.0000 0.5000 0.0000
0.5000 0.0000 0.0000
0.0000 0.0000 0.5000
0.5000 0.5000 0.5000
```

=====

Relative energy of each structure, in meV per atom: a 20; b 0; c 114.